(1)
# BaBeIn2 | Alexandria | PBE | relaxed
data_BaBeIn2
_chemical_formula_sum 'Ba2 Be2 In4'
_cell_length_a 4.6391
_cell_length_b 6.4616
_cell_length_c 8.2239
_cell_angle_alpha 90.00
_cell_angle_beta 90.00
_cell_angle_gamma 90.00
_space_group_name_H-M_alt 'I m m 2'
_space_group_IT_number 44
loop_
_space_group_symop_operation_xyz
'x,y,z'
'-x,-y,z'
'-x,y,z'
'x,-y,z'
'x+1/2,y+1/2,z+1/2'
'-x+1/2,-y+1/2,z+1/2'
'-x+1/2,y+1/2,z+1/2'
'x+1/2,-y+1/2,z+1/2'
loop_
_atom_site_label
_atom_site_type_symbol
_atom_site_fract_x
_atom_site_fract_y
_atom_site_fract_z
Ba1 Ba 0.0000 0.0000 0.0000
Be1 Be 0.0000 0.5000 0.8563
In1 In 0.0000 0.0000 0.4286
In2 In 0.0000 0.5000 0.1911
# Formation energy = 0.116 eV per atom
# Magnetic moment = 0.000 μB/cell
# DFT total energy = -2.67 eV/atom
# Volume = 247 Å³ per cell

(2)
# BaBe2In | Alexandria | PBE | relaxed
data_BaBe2In
_chemical_formula_sum 'Ba1 Be2 In1'
_cell_length_a 3.5331
_cell_length_b 3.5331
_cell_length_c 7.2609
_cell_angle_alpha 90.00
_cell_angle_beta 90.00
_cell_angle_gamma 90.00
_space_group_name_H-M_alt 'P 4/m m m'
_space_group_IT_number 123
_space_group_name_Hall '-P 4 2'
loop_
_atom_site_label
_atom_site_type_symbol
_atom_site_fract_x
_atom_site_fract_y
_atom_site_fract_z
Ba1 Ba 0.0000 0.0000 0.0000
Be1 Be 0.5000 0.5000 0.3400
In1 In 0.0000 0.0000 0.5000
# Formation energy = 0.517 eV per atom
# Magnetic moment = 0.000 μB/cell
# DFT total energy = -2.51 eV/atom
# Volume = 91 Å³ per cell

(3)
# BaBe2In | Alexandria | PBE | relaxed
data_BaBe2In
_chemical_formula_sum 'Ba2 Be4 In2'
_cell_length_a 4.1533
_cell_length_b 6.1967
_cell_length_c 8.0148
_cell_angle_alpha 90.00
_cell_angle_beta 90.00
_cell_angle_gamma 90.00
_space_group_name_H-M_alt 'I m m 2'
_space_group_IT_number 44
loop_
_space_group_symop_operation_xyz
'x,y,z'
'-x,-y,z'
'-x,y,z'
'x,-y,z'
'x+1/2,y+1/2,z+1/2'
'-x+1/2,-y+1/2,z+1/2'
'-x+1/2,y+1/2,z+1/2'
'x+1/2,-y+1/2,z+1/2'
loop_
_atom_site_label
_atom_site_type_symbol
_atom_site_fract_x
_atom_site_fract_y
_atom_site_fract_z
Ba1 Ba 0.0000 0.0000 0.0000
Be1 Be 0.0000 0.0000 0.4135
Be2 Be 0.0000 0.5000 0.8473
In1 In 0.0000 0.5000 0.1587
# Formation energy = 0.441 eV per atom
# Magnetic moment = 0.000 μB/cell
# DFT total energy = -2.59 eV/atom
# Volume = 206 Å³ per cell

(4)
# BaBeIn | Alexandria | PBE | relaxed
data_BaBeIn
_chemical_formula_sum 'Ba4 Be4 In4'
_cell_length_a 7.6302
_cell_length_b 7.6302
_cell_length_c 7.6302
_cell_angle_alpha 90.00
_cell_angle_beta 90.00
_cell_angle_gamma 90.00
_space_group_name_H-M_alt 'F -4 3 m'
_space_group_IT_number 216
_space_group_name_Hall 'F -4 2 3'
loop_
_atom_site_label
_atom_site_type_symbol
_atom_site_fract_x
_atom_site_fract_y
_atom_site_fract_z
Ba1 Ba 0.0000 0.0000 0.0000
Be1 Be 0.2500 0.2500 0.2500
In1 In 0.2500 0.2500 0.7500
# Formation energy = 0.828 eV per atom
# Magnetic moment = 0.000 μB/cell
# DFT total energy = -1.97 eV/atom
# Energy relative to the lowest polymorph listed for this composition = 785 meV per atom
# Volume = 444 Å³ per cell

(5)
# BaBe2In | Alexandria | PBE | relaxed
data_BaBe2In
_chemical_formula_sum 'Ba4 Be8 In4'
_cell_length_a 5.0295
_cell_length_b 5.0295
_cell_length_c 16.6843
_cell_angle_alpha 90.00
_cell_angle_beta 90.00
_cell_angle_gamma 90.00
_space_group_name_H-M_alt 'I 41/a m d'
_space_group_IT_number 141
loop_
_space_group_symop_operation_xyz
'x,y,z'
'-x,-y,-z'
'-y+1/4,x+3/4,z+1/4'
'y+1/4,-x+3/4,-z+1/4'
'-x+1/2,-y,z+1/2'
'x+1/2,y,-z+1/2'
'y+1/4,-x+1/4,z+3/4'
'-y+1/4,x+1/4,-z+3/4'
'x,-y,-z'
'-x,y,z'
'-y+1/4,-x+1/4,-z+3/4'
'y+1/4,x+1/4,z+3/4'
'-x+1/2,y,-z+1/2'
'x+1/2,-y,z+1/2'
'y+1/4,x+3/4,-z+1/4'
'-y+1/4,-x+3/4,z+1/4'
'x+1/2,y+1/2,z+1/2'
'-x+1/2,-y+1/2,-z+1/2'
'-y+3/4,x+1/4,z+3/4'
'y+3/4,-x+1/4,-z+3/4'
'-x,-y+1/2,z'
'x,y+1/2,-z'
'y+3/4,-x+3/4,z+1/4'
'-y+3/4,x+3/4,-z+1/4'
'x+1/2,-y+1/2,-z+1/2'
'-x+1/2,y+1/2,z+1/2'
'-y+3/4,-x+3/4,-z+1/4'
'y+3/4,x+3/4,z+1/4'
'-x,y+1/2,-z'
'x,-y+1/2,z'
'y+3/4,x+1/4,-z+3/4'
'-y+3/4,-x+1/4,z+3/4'
loop_
_atom_site_label
_atom_site_type_symbol
_atom_site_fract_x
_atom_site_fract_y
_atom_site_fract_z
Ba1 Ba 0.0000 0.2500 0.3750
Be1 Be 0.0000 0.0000 0.0000
In1 In 0.0000 0.2500 0.8750
# Formation energy = 0.335 eV per atom
# Magnetic moment = 0.000 μB/cell
# DFT total energy = -2.69 eV/atom
# Volume = 422 Å³ per cell

(6)
# BaBeIn | Alexandria | PBE | relaxed
data_BaBeIn
_chemical_formula_sum 'Ba4 Be4 In4'
_cell_length_a 7.1392
_cell_length_b 7.1392
_cell_length_c 7.1392
_cell_angle_alpha 90.00
_cell_angle_beta 90.00
_cell_angle_gamma 90.00
_space_group_name_H-M_alt 'F -4 3 m'
_space_group_IT_number 216
_space_group_name_Hall 'F -4 2 3'
loop_
_atom_site_label
_atom_site_type_symbol
_atom_site_fract_x
_atom_site_fract_y
_atom_site_fract_z
Ba1 Ba 0.0000 0.0000 0.0000
Be1 Be 0.2500 0.2500 0.2500
In1 In 0.0000 0.0000 0.5000
# Formation energy = 0.259 eV per atom
# Magnetic moment = 0.003 μB/cell
# DFT total energy = -2.54 eV/atom
# Energy relative to the lowest polymorph listed for this composition = 216 meV per atom
# Volume = 364 Å³ per cell